1.
Density functional theory data (PBE+U) for a relaxed structure of ZrVBrO4.

Output
The uncorrected energy is -106.02 eV/cell. The crystal system is monoclinic. The total magnetic moment is 0.0 μB per cell.

abc: 6.1043 6.1043 6.6014
angles: 104.08 104.08 68.06
Closest atoms and distances in Å follow each position.
Fractional positions:
1 Zr 0.2405 0.2405 0.1144  4 O 2.12-2.17
2 Zr 0.7595 0.7595 0.8856  4 O 2.12-2.17
3 V 0.3631 0.3631 0.7246  4 O 1.70-1.79
4 V 0.6369 0.6369 0.2754  4 O 1.70-1.79
5 Br 0.0097 0.0097 0.7596  2 Zr 2.78-2.89, 3 O 2.95-3.10
6 Br 0.9903 0.9903 0.2404  2 Zr 2.78-2.89, 3 O 2.95-3.10
7 O 0.1070 0.4918 0.8537  1 V 1.79
8 O 0.2906 0.2906 0.4570  1 V 1.70
9 O 0.4595 0.4595 0.2107  1 V 1.72
10 O 0.4918 0.1070 0.8537  1 V 1.79
11 O 0.5082 0.8930 0.1463  1 V 1.79
12 O 0.5405 0.5405 0.7893  1 V 1.72
13 O 0.7094 0.7094 0.5430  1 V 1.70
14 O 0.8930 0.5082 0.1463  1 V 1.79

2.
Density functional theory data (PBE+U) for a relaxed structure of WBr2O2.

Output
The uncorrected energy is -53.89 eV/cell. The crystal system is orthorhombic. The total magnetic moment is 0.0 μB per cell.

abc: 7.7000 9.0071 3.8522
angles: 90.00 90.00 90.00
Closest atoms and distances in Å follow each position.
Fractional positions:
1 W 0.2500 0.0000 0.0066  4 O 1.90-1.95
2 W 0.7500 0.0000 0.9934  4 O 1.90-1.95
3 Br 0.2500 0.2776 0.9972  1 W 2.50
4 Br 0.2500 0.7224 0.9972  1 W 2.50
5 Br 0.7500 0.2776 0.0028  1 W 2.50
6 Br 0.7500 0.7224 0.0028  1 W 2.50
7 O 0.0000 0.0000 0.0000  2 W 1.93
8 O 0.2500 0.0000 0.5011  2 W 1.90-1.95
9 O 0.5000 0.0000 0.0000  2 W 1.93
10 O 0.7500 0.0000 0.4989  2 W 1.90-1.95

3.
Density functional theory data (PBE+U) for a relaxed structure of WBr2O.

Output
The uncorrected energy is -13.10 eV/cell. The crystal system is cubic. The total magnetic moment is 2.0 μB per cell.

abc: 4.5853 4.5853 4.5853
angles: 60.00 60.00 60.00
Closest atoms and distances in Å follow each position.
Fractional positions:
1 W 0.0000 0.0000 0.0000  8 Br 2.81
2 Br 0.2500 0.2500 0.2500  4 O 2.81, 4 W 2.81
3 Br 0.7500 0.7500 0.7500  4 O 2.81, 4 W 2.81
4 O 0.5000 0.5000 0.5000  8 Br 2.81

4.
Density functional theory data (PBE+U) for a relaxed structure of WBr2O.

Output
The uncorrected energy is -11.04 eV/cell. The crystal system is trigonal. The total magnetic moment is 2.0 μB per cell.

abc: 8.4705 8.4705 8.4705
angles: 24.55 24.55 24.55
Closest atoms and distances in Å follow each position.
Fractional positions:
1 W 0.0000 0.0000 0.0000  2 Br 2.39
2 Br 0.0969 0.0969 0.0969  1 W 2.39
3 Br 0.9031 0.9031 0.9031  1 W 2.39
4 O 0.5000 0.5000 0.5000  6 Br 2.70

5.
Density functional theory data (PBE+U) for a relaxed structure of WBr2O.

Output
The uncorrected energy is -26.49 eV/cell. The crystal system is tetragonal. The total magnetic moment is 4.0 μB per cell.

abc: 6.3269 6.3269 6.3269
angles: 109.30 109.30 109.81
Closest atoms and distances in Å follow each position.
Fractional positions:
1 W 0.0000 0.0000 0.0000  4 Br 2.66
2 W 0.7500 0.2500 0.5000  4 Br 2.66
3 Br 0.1072 0.6250 0.9822  2 W 2.66, 2 O 2.83
4 Br 0.3750 0.3572 0.4822  2 W 2.66, 2 O 2.83
5 Br 0.6428 0.1250 0.0178  2 W 2.66, 2 O 2.83
6 Br 0.8750 0.8928 0.5178  2 W 2.66, 2 O 2.83
7 O 0.2500 0.7500 0.5000  4 Br 2.83
8 O 0.5000 0.5000 0.0000  4 Br 2.83